1.
DFT (PBE-GGA) results for SrV2CuPd after structural relaxation.

Cell lengths 4.8308, 4.8308, 4.9799 Å; angles 90.00, 90.00, 90.00 degrees
Space group P4/mmm (No. 123)
Symmetry-distinct sites (fractional):
1 Sr 0.0000 0.0000 0.0000 x1
2 V 0.0000 0.5000 0.5000 x2
3 Cu 0.5000 0.5000 0.0000 x1
4 Pd 0.5000 0.5000 0.5000 x1

Results
**Total DFT energy (no corrections)**: -0.3794 Ry/atom
**Total magnetic moment**: 5.70 μB/cell
**E_form**: 680 meV per atom

---

2.
DFT (PBE-GGA) results for SrYCu2Pd after structural relaxation.

Cell lengths 4.9376, 4.9376, 6.0030 Å; angles 90.00, 90.00, 90.00 degrees
Space group P4/mmm (No. 123)
Symmetry-distinct sites (fractional):
1 Sr 0.0000 0.0000 0.0000 x1
2 Y 0.0000 0.0000 0.5000 x1
3 Cu 0.0000 0.5000 0.0000 x2
4 Pd 0.5000 0.5000 0.5000 x1

Results
**Total DFT energy (no corrections)**: -0.2128 Ry/atom
**Total magnetic moment**: 0.54 μB/cell
**E_form**: 1410 meV per atom

---

3.
DFT (PBE-GGA) results for SrZnCuPd after structural relaxation.

Cell lengths 7.6183, 4.3927, 5.8525 Å; angles 90.00, 115.86, 90.00 degrees
Space group Cm (No. 8)
Symmetry-distinct sites (fractional):
1 Sr 0.0000 0.0000 0.0000 x2
2 Zn 0.0019 0.5000 0.5059 x2
3 Cu 0.3079 0.5000 0.4245 x2
4 Pd 0.1954 0.0000 0.5858 x2

Results
**Total DFT energy (no corrections)**: -0.2541 Ry/atom
**Total magnetic moment**: 0.00 μB/cell
**E_form**: -396 meV per atom

---

4.
DFT (PBE-GGA) results for Sr2Zn12Cu3Pd after structural relaxation.

Cell lengths 8.3029, 8.3029, 20.9178 Å; angles 90.00, 90.00, 120.00 degrees
Space group R-3m (No. 166, hexagonal axes)
Symmetry-distinct sites (fractional):
1 Sr 0.0000 0.0000 0.1071 x6
2 Zn 0.0243 0.5121 0.1186 x18
3 Zn 0.1091 0.5546 0.3915 x18
4 Cu 0.0000 0.5000 0.0000 x9
5 Pd 0.0000 0.0000 0.5000 x3

Results
**Total DFT energy (no corrections)**: -0.1391 Ry/atom
**Total magnetic moment**: 0.00 μB/cell
**E_form**: 115 meV per atom